Record 1
Computed, not measured: crystalline KWSe at its relaxed geometry at the PBE level of DFT.

CIF file:
```
data_KWSe
_cell_length_a 7.227
_cell_length_b 7.227
_cell_length_c 7.227
_cell_angle_alpha 90.00
_cell_angle_beta 90.00
_cell_angle_gamma 90.00
_symmetry_space_group_name_H-M 'F -4 3 m'
_symmetry_Int_Tables_number 216
_symmetry_space_group_name_Hall 'F -4 2 3'
loop_
_atom_site_label
_atom_site_fract_x
_atom_site_fract_y
_atom_site_fract_z
K1 0.000 0.000 0.000
W1 0.250 0.250 0.250
Se1 0.250 0.250 0.750
```

## Properties
- N(E_F): 2.83 states/eV/f.u.
- Formation energy (no corrections): 1.8976 eV per atom
- ΔE to the lowest computed polymorph: 1470 meV/atom


Record 2
Computed, not measured: crystalline ThIn4Pd15 at its relaxed geometry at the PBE level of DFT.

CIF file:
```
data_ThIn4Pd15
_cell_length_a 4.109
_cell_length_b 4.109
_cell_length_c 20.069
_cell_angle_alpha 90.00
_cell_angle_beta 90.00
_cell_angle_gamma 90.00
_symmetry_space_group_name_H-M 'P 4/m m m'
_symmetry_Int_Tables_number 123
_symmetry_space_group_name_Hall '-P 4 2'
loop_
_atom_site_label
_atom_site_fract_x
_atom_site_fract_y
_atom_site_fract_z
Th1 0.000 0.000 0.000
In1 0.000 0.000 0.207
In2 0.000 0.000 0.402
Pd1 0.000 0.500 0.105
Pd2 0.000 0.500 0.304
Pd3 0.000 0.500 0.500
Pd4 0.500 0.500 0.000
Pd5 0.500 0.500 0.204
Pd6 0.500 0.500 0.402
```

## Properties
- N(E_F): 12.49 states/eV/f.u.
- Calculated formation energy: -0.545 eV/atom


What is the N(E_F) in the second record?
12.49 states/eV/f.u.


Number 1 is which compound?
KWSe